First-principles (PBE-GGA) data for a relaxed structure of Cs2KSrS, as listed in Alexandria via LeMat-Bulk.

```
Cs2KSrS
1.0
8.004 0.000 0.000
0.000 8.004 0.000
0.000 0.000 7.445
Cs K Sr S
2 1 1 1
direct
0.000 0.500 0.000
0.500 0.000 0.000
0.000 0.000 0.500
0.000 0.000 0.000
0.500 0.500 0.500
```

Computed properties:
The value obtained for the volume is 477 Å³/cell. As for the uncorrected formation energy: 0.5649 eV/atom. Its theoretical density is 1.5 Mg/m³.


First-principles (PBE-GGA) data for a relaxed structure of CsK2TaS4, as listed in Alexandria via LeMat-Bulk.

```
CsK2TaS4
1.0
-3.927 4.292 7.110
3.927 -4.292 7.110
3.927 4.292 -7.110
Cs K Ta S
2 4 2 8
direct
0.000 0.000 0.000
0.500 0.000 0.500
0.000 0.500 0.500
0.500 0.000 0.000
0.500 0.500 0.000
0.500 0.500 0.500
0.000 0.000 0.500
0.000 0.500 0.000
0.166 0.186 0.521
0.166 0.645 0.979
0.195 0.245 0.950
0.205 0.755 0.450
0.795 0.245 0.550
0.805 0.755 0.050
0.834 0.355 0.021
0.834 0.814 0.479
```

Computed properties:
The value obtained for the volume is 479 Å³/cell. As for the uncorrected formation energy: -0.9934 eV/atom. Its theoretical density is 3.6 Mg/m³.


First-principles (PBE-GGA) data for a relaxed structure of CsK2TcS4, as listed in Alexandria via LeMat-Bulk.

```
CsK2TcS4
1.0
8.406 0.000 0.000
0.000 8.406 0.000
0.000 0.000 8.031
Cs K Tc S
2 4 2 8
direct
0.000 0.000 0.000
0.500 0.500 0.500
0.000 0.000 0.500
0.000 0.500 0.750
0.500 0.000 0.250
0.500 0.500 0.000
0.000 0.500 0.250
0.500 0.000 0.750
0.137 0.669 0.408
0.169 0.363 0.092
0.331 0.137 0.592
0.363 0.831 0.908
0.637 0.169 0.908
0.669 0.863 0.592
0.831 0.637 0.092
0.863 0.331 0.408
```

Computed properties:
The value obtained for the volume is 567 Å³/cell. As for the uncorrected formation energy: -0.8231 eV/atom. Its theoretical density is 2.6 Mg/m³.


First-principles (PBE-GGA) data for a relaxed structure of CsK2TeS, as listed in Alexandria via LeMat-Bulk.

```
CsK2TeS
1.0
6.047 0.000 0.000
0.000 6.047 0.000
0.000 0.000 6.487
Cs K Te S
1 2 1 1
direct
0.000 0.000 0.000
0.000 0.500 0.500
0.500 0.000 0.500
0.500 0.500 0.000
0.000 0.000 0.500
```

Computed properties:
The value obtained for the volume is 237 Å³/cell. As for the uncorrected formation energy: -0.7580 eV/atom. Its theoretical density is 2.6 Mg/m³.


First-principles (PBE-GGA) data for a relaxed structure of CsKTeS2, as listed in Alexandria via LeMat-Bulk.

```
CsKTeS2
1.0
7.651 0.000 0.000
0.000 6.678 0.000
-3.221 0.000 6.246
Cs K Te S
2 2 2 4
direct
0.000 0.241 0.250
0.000 0.759 0.750
0.500 0.499 0.250
0.500 0.501 0.750
0.500 0.000 0.000
0.500 0.000 0.500
0.173 0.251 0.836
0.173 0.749 0.336
0.827 0.251 0.664
0.827 0.749 0.164
```

Computed properties:
The value obtained for the volume is 319 Å³/cell. As for the uncorrected formation energy: -0.6195 eV/atom. Its theoretical density is 3.8 Mg/m³.


First-principles (PBE-GGA) data for a relaxed structure of Cs3KTh2S6, as listed in Alexandria via LeMat-Bulk.

```
Cs3KTh2S6
1.0
10.230 -2.159 0.000
10.230 2.159 0.000
-2.993 0.000 9.142
Cs K Th S
3 1 2 6
direct
0.000 0.000 0.000
0.346 0.346 0.667
0.654 0.654 0.333
0.000 0.000 0.500
0.333 0.333 0.170
0.667 0.667 0.830
0.174 0.174 0.646
0.183 0.183 0.040
0.468 0.468 0.244
0.532 0.532 0.756
0.817 0.817 0.960
0.826 0.826 0.354
```

Computed properties:
The value obtained for the volume is 404 Å³/cell. As for the uncorrected formation energy: -1.6573 eV/atom. Its theoretical density is 4.5 Mg/m³.


First-principles (PBE-GGA) data for a relaxed structure of Cs2KTl2S4, as listed in Alexandria via LeMat-Bulk.

```
Cs2KTl2S4
1.0
8.683 -2.358 0.000
8.683 2.358 0.000
-2.703 0.000 7.677
Cs K Tl S
2 1 2 4
direct
0.121 0.121 0.033
0.879 0.879 0.967
0.000 0.000 0.500
0.333 0.333 0.505
0.667 0.667 0.495
0.211 0.211 0.667
0.468 0.468 0.748
0.532 0.532 0.252
0.789 0.789 0.333
```

Computed properties:
The value obtained for the volume is 314 Å³/cell. As for the uncorrected formation energy: -0.7127 eV/atom. Its theoretical density is 4.4 Mg/m³.


First-principles (PBE-GGA) data for a relaxed structure of Cs2KUS6, as listed in Alexandria via LeMat-Bulk.

```
Cs2KUS6
1.0
8.014 0.000 0.000
0.000 8.008 0.000
-8.008 0.000 11.330
Cs K U S
4 2 2 12
direct
0.250 0.000 0.250
0.250 0.500 0.750
0.750 0.000 0.750
0.750 0.500 0.250
0.000 0.000 0.500
0.000 0.500 0.000
0.500 0.000 0.000
0.500 0.500 0.500
0.277 0.000 0.778
0.277 0.500 0.278
0.278 0.222 0.001
0.278 0.278 0.501
0.279 0.723 0.500
0.279 0.777 0.000
0.721 0.223 0.000
0.721 0.277 0.500
0.722 0.722 0.499
0.722 0.778 0.999
0.723 0.000 0.222
0.723 0.500 0.722
```

Computed properties:
The value obtained for the volume is 727 Å³/cell. As for the uncorrected formation energy: -0.8872 eV/atom. Its theoretical density is 3.4 Mg/m³.


Q: Which of these has the lowest volume?
A: CsK2TeS


Q: Among the records above, which one has the lowest theoretical density?
A: Cs2KSrS